This record from the Alexandria database describes a geometry-optimized PmEr2Tc structure. The functional is PBE.

Properties
The total moment comes out at 0.00 μB per formula unit. Its formation enthalpy at 0 K is 0.176 eV per atom. Its space group is R-3m (166). As for the density of states at the Fermi level: 3.72 states/eV/f.u. As for the energy above the lowest structure with this stoichiometry: 265.5 meV per atom.

Lattice parameters (Å, degrees): 5.790 5.790 5.790 49.19 49.19 49.19
Sites, in units of the cell vectors:
Pm: 0.000 0.000 0.000
Er: 0.226 0.226 0.226
Er: 0.774 0.774 0.774
Tc: 0.500 0.500 0.500



This record from the Alexandria database describes a geometry-optimized Pm2ErTc structure. The functional is PBE.

Properties
The total moment comes out at 0.00 μB per formula unit. Its formation enthalpy at 0 K is 0.366 eV per atom. Its space group is R-3m (166). As for the density of states at the Fermi level: 4.88 states/eV/f.u. As for the energy above the lowest structure with this stoichiometry: 400.8 meV per atom.

Lattice parameters (Å, degrees): 11.157 11.157 11.157 17.88 17.88 17.88
Sites, in units of the cell vectors:
Pm: 0.104 0.104 0.104
Pm: 0.896 0.896 0.896
Er: 0.000 0.000 0.000
Tc: 0.500 0.500 0.500



This record from the Alexandria database describes a geometry-optimized Pm2ErTc structure. The functional is PBE.

Properties
The total moment comes out at 0.00 μB per formula unit. Its formation enthalpy at 0 K is -0.035 eV per atom. Its space group is Pnma (62). As for the density of states at the Fermi level: 3.26 states/eV/f.u. As for the energy above the lowest structure with this stoichiometry: 0.0 meV per atom.

Lattice parameters (Å, degrees): 7.429 9.451 6.372 90.00 90.00 90.00
Sites, in units of the cell vectors:
Pm: 0.178 0.064 0.166
Pm: 0.178 0.436 0.166
Pm: 0.322 0.564 0.666
Pm: 0.322 0.936 0.666
Pm: 0.678 0.064 0.334
Pm: 0.678 0.436 0.334
Pm: 0.822 0.564 0.834
Pm: 0.822 0.936 0.834
Er: 0.046 0.250 0.636
Er: 0.454 0.750 0.136
Er: 0.546 0.250 0.864
Er: 0.954 0.750 0.364
Tc: 0.110 0.750 0.966
Tc: 0.390 0.250 0.466
Tc: 0.610 0.750 0.534
Tc: 0.890 0.250 0.034



This record from the Alexandria database describes a geometry-optimized Pm2Er8Tc structure. The functional is PBE.

Properties
The total moment comes out at 0.00 μB per formula unit. Its formation enthalpy at 0 K is 0.014 eV per atom. Its space group is C2/m (12). As for the density of states at the Fermi level: 15.94 states/eV/f.u.

Lattice parameters (Å, degrees): 9.476 9.476 6.643 93.30 93.30 33.19
Sites, in units of the cell vectors:
Pm: 0.226 0.226 0.166
Pm: 0.774 0.774 0.834
Er: 0.032 0.032 0.267
Er: 0.161 0.161 0.664
Er: 0.358 0.358 0.617
Er: 0.419 0.419 0.122
Er: 0.581 0.581 0.878
Er: 0.642 0.642 0.383
Er: 0.839 0.839 0.336
Er: 0.968 0.968 0.733
Tc: 0.500 0.500 0.500



This record from the Alexandria database describes a geometry-optimized PmErTc4 structure. The functional is PBE.

Properties
The total moment comes out at 0.01 μB per formula unit. Its formation enthalpy at 0 K is -0.077 eV per atom. Its space group is F-43m (216). As for the density of states at the Fermi level: 9.07 states/eV/f.u.

Lattice parameters (Å, degrees): 5.429 5.429 5.429 60.00 60.00 60.00
Sites, in units of the cell vectors:
Pm: 0.000 0.000 0.000
Er: 0.250 0.250 0.250
Tc: 0.125 0.625 0.625
Tc: 0.625 0.125 0.625
Tc: 0.625 0.625 0.125
Tc: 0.625 0.625 0.625



This record from the Alexandria database describes a geometry-optimized PmEr2Tc structure. The functional is PBE.

Properties
The total moment comes out at 0.00 μB per formula unit. Its formation enthalpy at 0 K is -0.013 eV per atom. Its space group is P4/mmm (123). As for the density of states at the Fermi level: 6.96 states/eV/f.u. As for the energy above the lowest structure with this stoichiometry: 76.3 meV per atom.

Lattice parameters (Å, degrees): 3.433 3.433 9.036 90.00 90.00 90.00
Sites, in units of the cell vectors:
Pm: 0.000 0.000 0.000
Er: 0.500 0.500 0.319
Er: 0.500 0.500 0.681
Tc: 0.000 0.000 0.500



This record from the Alexandria database describes a geometry-optimized PmEr5Te6 structure. The functional is PBE.

Properties
The total moment comes out at 0.00 μB per formula unit. Its space group is C2/m (12). As for the density of states at the Fermi level: 5.27 states/eV/f.u. The energy relative to the elements, uncorrected comes out at -1246 meV/atom.

Lattice parameters (Å, degrees): 7.526 7.526 7.496 99.54 99.54 119.85
Sites, in units of the cell vectors:
Pm: 0.000 0.000 0.000
Er: 0.155 0.845 0.500
Er: 0.333 0.667 0.000
Er: 0.500 0.500 0.500
Er: 0.667 0.333 0.000
Er: 0.845 0.155 0.500
Te: 0.086 0.430 0.258
Te: 0.262 0.262 0.753
Te: 0.430 0.086 0.258
Te: 0.570 0.914 0.742
Te: 0.738 0.738 0.247
Te: 0.914 0.570 0.742



This record from the Alexandria database describes a geometry-optimized Pm2Er5Te4 structure. The functional is PBE.

Properties
The total moment comes out at 0.00 μB per formula unit. Its space group is C2/m (12). As for the density of states at the Fermi level: 10.68 states/eV/f.u. The energy relative to the elements, uncorrected comes out at -495 meV/atom.

Lattice parameters (Å, degrees): 15.663 15.663 6.275 97.41 97.41 14.36
Sites, in units of the cell vectors:
Pm: 0.080 0.080 0.305
Pm: 0.920 0.920 0.695
Er: 0.150 0.150 0.865
Er: 0.192 0.192 0.396
Er: 0.500 0.500 0.000
Er: 0.808 0.808 0.604
Er: 0.850 0.850 0.135
Te: 0.052 0.052 0.769
Te: 0.280 0.280 0.240
Te: 0.720 0.720 0.760
Te: 0.948 0.948 0.231



This record from the Alexandria database describes a geometry-optimized PmEr4Te5 structure. The functional is PBE.

Properties
The total moment comes out at 0.00 μB per formula unit. Its space group is C2/m (12). As for the density of states at the Fermi level: 5.27 states/eV/f.u. The energy relative to the elements, uncorrected comes out at -1253 meV/atom.

Lattice parameters (Å, degrees): 7.564 7.564 10.623 118.21 118.21 33.37
Sites, in units of the cell vectors:
Pm: 0.000 0.000 0.000
Er: 0.206 0.206 0.800
Er: 0.402 0.402 0.608
Er: 0.598 0.598 0.392
Er: 0.794 0.794 0.200
Te: 0.000 0.000 0.500
Te: 0.204 0.204 0.309
Te: 0.394 0.394 0.105
Te: 0.606 0.606 0.895
Te: 0.796 0.796 0.691



This record from the Alexandria database describes a geometry-optimized Pm5Er3Te8 structure. The functional is PBE.

Properties
The total moment comes out at 0.00 μB per formula unit. Its space group is R-3m (166). As for the density of states at the Fermi level: 11.53 states/eV/f.u. The energy relative to the elements, uncorrected comes out at -1332 meV/atom.

Lattice parameters (Å, degrees): 8.887 8.887 8.887 59.07 59.07 59.07
Sites, in units of the cell vectors:
Pm: 0.000 0.000 0.000
Pm: 0.000 0.500 0.500
Pm: 0.500 0.000 0.500
Pm: 0.500 0.500 0.000
Pm: 0.500 0.500 0.500
Er: 0.000 0.000 0.500
Er: 0.000 0.500 0.000
Er: 0.500 0.000 0.000
Te: 0.241 0.750 0.750
Te: 0.246 0.246 0.246
Te: 0.250 0.250 0.759
Te: 0.250 0.759 0.250
Te: 0.750 0.241 0.750
Te: 0.750 0.750 0.241
Te: 0.754 0.754 0.754
Te: 0.759 0.250 0.250



This record from the Alexandria database describes a geometry-optimized PmEr3Te4 structure. The functional is PBE.

Properties
The total moment comes out at 0.00 μB per formula unit. Its space group is Cmmm (65). As for the density of states at the Fermi level: 4.67 states/eV/f.u. The energy relative to the elements, uncorrected comes out at -1257 meV/atom.

Lattice parameters (Å, degrees): 7.591 7.591 4.280 90.00 90.00 108.56
Sites, in units of the cell vectors:
Pm: 0.000 0.000 0.000
Er: 0.000 0.500 0.500
Er: 0.500 0.000 0.500
Er: 0.500 0.500 0.000
Te: 0.254 0.746 0.000
Te: 0.258 0.258 0.500
Te: 0.742 0.742 0.500
Te: 0.746 0.254 0.000



This record from the Alexandria database describes a geometry-optimized PmEr2Te structure. The functional is PBE.

Properties
The total moment comes out at 0.94 μB per formula unit. Its space group is R-3m (166). As for the density of states at the Fermi level: 5.75 states/eV/f.u. As for the energy above the lowest structure with this stoichiometry: 435.8 meV per atom. The energy relative to the elements, uncorrected comes out at -212 meV/atom.

Lattice parameters (Å, degrees): 11.061 11.061 11.061 19.72 19.72 19.72
Sites, in units of the cell vectors:
Pm: 0.000 0.000 0.000
Er: 0.103 0.103 0.103
Er: 0.897 0.897 0.897
Te: 0.500 0.500 0.500